Here is FeH7C3NO6 at its PBEsol-relaxed geometry from Alexandria via LeMat-Bulk. Energies are from SCAN.

The structure in POSCAR format:
```
FeH7C3NO6
1.0
12.4798 0.0000 0.0000
-6.2399 10.8078 0.0000
0.0000 0.0000 8.3514
Fe H C N O
6 42 18 6 36
Direct
0.0030 0.3349 0.0000
0.3319 0.9970 0.0000
0.3349 0.3319 0.5000
0.6651 0.6681 0.0000
0.6681 0.0030 0.5000
0.9970 0.6651 0.5000
0.0000 0.0000 0.4344
0.0000 0.0000 0.9344
0.0272 0.0908 0.0962
0.0612 0.5131 0.7203
0.0636 0.9728 0.0962
0.0908 0.0636 0.5962
0.1278 0.2686 0.7365
0.1408 0.8722 0.7365
0.1815 0.3955 0.2773
0.2140 0.8185 0.2773
0.2429 0.6409 0.4038
0.2686 0.1408 0.2365
0.2694 0.5762 0.9043
0.3068 0.7306 0.9043
0.3333 0.6667 0.0662
0.3333 0.6667 0.5656
0.3591 0.6020 0.4038
0.3955 0.2140 0.7773
0.3980 0.7571 0.4038
0.4238 0.6932 0.9043
0.4519 0.9388 0.7203
0.4869 0.5481 0.7203
0.5131 0.4519 0.2203
0.5481 0.0612 0.2203
0.5762 0.3068 0.4043
0.6020 0.2429 0.9038
0.6045 0.7860 0.2773
0.6409 0.3980 0.9038
0.6667 0.3333 0.0656
0.6667 0.3333 0.5662
0.6932 0.2694 0.4043
0.7306 0.4238 0.4043
0.7314 0.8592 0.7365
0.7571 0.3591 0.9038
0.7860 0.1815 0.7773
0.8185 0.6045 0.7773
0.8592 0.1278 0.2365
0.8722 0.7314 0.2365
0.9092 0.9364 0.0962
0.9364 0.0272 0.5962
0.9388 0.4869 0.2203
0.9728 0.9092 0.5962
0.0396 0.5254 0.2379
0.1439 0.2946 0.2619
0.1507 0.8561 0.2619
0.1841 0.8134 0.7442
0.1866 0.3707 0.7442
0.2946 0.1507 0.7619
0.3707 0.1841 0.2442
0.4746 0.5142 0.2379
0.4858 0.9604 0.2379
0.5142 0.0396 0.7379
0.5254 0.4858 0.7379
0.6293 0.8159 0.7442
0.7054 0.8493 0.2619
0.8134 0.6293 0.2442
0.8159 0.1866 0.2442
0.8493 0.1439 0.7619
0.8561 0.7054 0.7619
0.9604 0.4746 0.7379
0.0000 0.0000 0.0572
0.0000 0.0000 0.5572
0.3333 0.6667 0.4428
0.3333 0.6667 0.9434
0.6667 0.3333 0.4434
0.6667 0.3333 0.9428
0.0620 0.8241 0.3588
0.0703 0.2430 0.1446
0.0902 0.5987 0.3558
0.0973 0.4936 0.1423
0.1540 0.7272 0.6439
0.1617 0.4246 0.8560
0.1727 0.9297 0.1446
0.1759 0.2379 0.3588
0.2379 0.0620 0.8588
0.2430 0.1727 0.6446
0.2628 0.8383 0.8560
0.2728 0.4268 0.6439
0.3963 0.9027 0.1423
0.4013 0.4914 0.3558
0.4246 0.2628 0.3560
0.4268 0.1540 0.1439
0.4914 0.0902 0.8558
0.4936 0.3963 0.6423
0.5064 0.6037 0.1423
0.5086 0.9098 0.3558
0.5732 0.8460 0.6439
0.5754 0.7372 0.8560
0.5987 0.5086 0.8558
0.6037 0.0973 0.6423
0.7272 0.5732 0.1439
0.7372 0.1617 0.3560
0.7570 0.8273 0.1446
0.7621 0.9380 0.3588
0.8241 0.7621 0.8588
0.8273 0.0703 0.6446
0.8383 0.5754 0.3560
0.8460 0.2728 0.1439
0.9027 0.5064 0.6423
0.9098 0.4013 0.8558
0.9297 0.7570 0.6446
0.9380 0.1759 0.8588
```

Computed properties:
**Electronic total energy**: -0.27605 Ha/atom
**V**: 10.4 Å³/atom